(1)
# NaN2OF PBE-GGA relaxed
# D(E_F) ... 1.3307 states/eV per atom
# Formation energy from raw total energies ... 1810 meV per atom
data_NaN2OF
_chemical_formula_sum 'Na1 N2 O1 F1'
_cell_length_a 5.203
_cell_length_b 5.203
_cell_length_c 4.106
_cell_angle_alpha 90.00
_cell_angle_beta 90.00
_cell_angle_gamma 90.00
_symmetry_space_group_name_H-M 'P 4/m m m'
_symmetry_Int_Tables_number 123
_symmetry_space_group_name_Hall '-P 4 2'
loop_
_atom_site_label
_atom_site_type_symbol
_atom_site_fract_x
_atom_site_fract_y
_atom_site_fract_z
_atom_site_occupancy
Na1 Na 0.000 0.000 0.000 1
N1 N 0.000 0.500 0.000 1
O1 O 0.500 0.500 0.500 1
F1 F 0.000 0.000 0.500 1


(2)
# Cs2UTe4Au2 PBE-GGA relaxed
# D(E_F) ... 0.4505 states/eV per atom
# Formation energy from raw total energies ... -714 meV per atom
data_Cs2UTe4Au2
_chemical_formula_sum 'Cs4 U2 Te8 Au4'
_cell_length_a 19.601
_cell_length_b 4.650
_cell_length_c 8.413
_cell_angle_alpha 90.00
_cell_angle_beta 114.04
_cell_angle_gamma 90.00
_symmetry_space_group_name_H-M 'C 1 2/m 1'
_symmetry_Int_Tables_number 12
_symmetry_space_group_name_Hall '-C 2y'
loop_
_atom_site_label
_atom_site_type_symbol
_atom_site_fract_x
_atom_site_fract_y
_atom_site_fract_z
_atom_site_occupancy
Cs1 Cs 0.147 0.000 0.126 1
U1 U 0.000 0.000 0.500 1
Te1 Te 0.009 0.500 0.258 1
Te2 Te 0.178 0.000 0.645 1
Au1 Au 0.124 0.500 0.711 1


(3)
# CaMn2Pb PBE-GGA relaxed
# Polymorph energy (0 for the lowest one) ... 0.317 eV/atom
# D(E_F) ... 1.0326 states/eV per atom
# ΔE_f ... 0.427 eV/atom
data_CaMn2Pb
_chemical_formula_sum 'Ca1 Mn2 Pb1'
_cell_length_a 3.402
_cell_length_b 4.930
_cell_length_c 5.731
_cell_angle_alpha 90.00
_cell_angle_beta 90.00
_cell_angle_gamma 90.00
_symmetry_space_group_name_H-M 'P m m m'
_symmetry_Int_Tables_number 47
_symmetry_space_group_name_Hall '-P 2 2'
loop_
_atom_site_label
_atom_site_type_symbol
_atom_site_fract_x
_atom_site_fract_y
_atom_site_fract_z
_atom_site_occupancy
Ca1 Ca 0.000 0.000 0.000 1
Mn1 Mn 0.500 0.500 0.238 1
Pb1 Pb 0.500 0.000 0.500 1


(4)
# PuZnC PBE-GGA relaxed
# D(E_F) ... 1.1558 states/eV per atom
# ΔE_f ... 0.511 eV/atom
data_PuZnC
_chemical_formula_sum 'Pu6 Zn6 C6'
_cell_length_a 3.4854
_cell_length_b 3.4854
_cell_length_c 23.6445
_cell_angle_alpha 90.00
_cell_angle_beta 90.00
_cell_angle_gamma 120.00
_symmetry_space_group_name_H-M 'R -3 m'
_symmetry_Int_Tables_number 166
_symmetry_space_group_name_Hall '-R 3 2"'
loop_
_atom_site_label
_atom_site_type_symbol
_atom_site_fract_x
_atom_site_fract_y
_atom_site_fract_z
_atom_site_occupancy
Pu1 Pu 0.0000 0.0000 0.1948 1
Zn1 Zn 0.0000 0.0000 0.3743 1
C1 C 0.0000 0.0000 0.0837 1


(5)
# Rb2TeBrF6 PBE-GGA relaxed
# D(E_F) ... 0.8008 states/eV per atom
# Formation energy from raw total energies ... -2058 meV per atom
data_Rb2TeBrF6
_chemical_formula_sum 'Rb4 Te2 Br2 F12'
_cell_length_a 7.089
_cell_length_b 7.089
_cell_length_c 9.938
_cell_angle_alpha 90.00
_cell_angle_beta 90.00
_cell_angle_gamma 90.00
_symmetry_space_group_name_H-M 'I 4/m m m'
_symmetry_Int_Tables_number 139
_symmetry_space_group_name_Hall '-I 4 2'
loop_
_atom_site_label
_atom_site_type_symbol
_atom_site_fract_x
_atom_site_fract_y
_atom_site_fract_z
_atom_site_occupancy
Rb1 Rb 0.000 0.500 0.250 1
Te1 Te 0.000 0.000 0.000 1
Br1 Br 0.000 0.000 0.500 1
F1 F 0.000 0.000 0.205 1
F2 F 0.203 0.203 0.000 1


(6)
# Cs2In2Sb3 PBE-GGA relaxed
# Polymorph energy (0 for the lowest one) ... 0.060 eV/atom
# D(E_F) ... 0.2025 states/eV per atom
# Formation energy from raw total energies ... -317 meV per atom
data_Cs2In2Sb3
_chemical_formula_sum 'Cs8 In8 Sb12'
_cell_length_a 20.662
_cell_length_b 4.959
_cell_length_c 14.027
_cell_angle_alpha 90.00
_cell_angle_beta 124.95
_cell_angle_gamma 90.00
_symmetry_space_group_name_H-M 'C 1 2/m 1'
_symmetry_Int_Tables_number 12
_symmetry_space_group_name_Hall '-C 2y'
loop_
_atom_site_label
_atom_site_type_symbol
_atom_site_fract_x
_atom_site_fract_y
_atom_site_fract_z
_atom_site_occupancy
Cs1 Cs 0.124 0.000 0.473 1
Cs2 Cs 0.236 0.000 0.845 1
In1 In 0.022 0.500 0.790 1
In2 In 0.082 0.000 0.139 1
Sb1 Sb 0.063 0.500 0.619 1
Sb2 Sb 0.090 0.000 0.935 1
Sb3 Sb 0.141 0.500 0.276 1


(7)
# NaAgAs3 PBE-GGA relaxed
# Polymorph energy (0 for the lowest one) ... 0.533 eV/atom
# D(E_F) ... 0.6559 states/eV per atom
# ΔE_f ... 1.069 eV/atom
data_NaAgAs3
_chemical_formula_sum 'Na1 Ag1 As3'
_cell_length_a 5.010
_cell_length_b 5.010
_cell_length_c 5.010
_cell_angle_alpha 90.00
_cell_angle_beta 90.00
_cell_angle_gamma 90.00
_symmetry_space_group_name_H-M 'P m -3 m'
_symmetry_Int_Tables_number 221
_symmetry_space_group_name_Hall '-P 4 2 3'
loop_
_atom_site_label
_atom_site_type_symbol
_atom_site_fract_x
_atom_site_fract_y
_atom_site_fract_z
_atom_site_occupancy
Na1 Na 0.000 0.000 0.000 1
Ag1 Ag 0.500 0.500 0.500 1
As1 As 0.000 0.000 0.500 1


(8)
# LiEuHoOs PBE-GGA relaxed
# D(E_F) ... 2.0863 states/eV per atom
# ΔE_f ... -0.008 eV/atom
data_LiEuHoOs
_chemical_formula_sum 'Li4 Eu4 Ho4 Os4'
_cell_length_a 7.001
_cell_length_b 7.001
_cell_length_c 7.001
_cell_angle_alpha 90.00
_cell_angle_beta 90.00
_cell_angle_gamma 90.00
_symmetry_space_group_name_H-M 'F -4 3 m'
_symmetry_Int_Tables_number 216
_symmetry_space_group_name_Hall 'F -4 2 3'
loop_
_atom_site_label
_atom_site_type_symbol
_atom_site_fract_x
_atom_site_fract_y
_atom_site_fract_z
_atom_site_occupancy
Li1 Li 0.000 0.000 0.000 1
Eu1 Eu 0.250 0.250 0.250 1
Ho1 Ho 0.250 0.250 0.750 1
Os1 Os 0.000 0.000 0.500 1